Entry 1:
VASP calculation (PBE) on a relaxed structure of CdHO2.

a = 3.847 Å, b = 3.847 Å, c = 3.847 Å
α = 60.00°, β = 60.00°, γ = 60.00°
Each line ends with the local moment (μB).
Sites, in units of the cell vectors:
Cd 0.500 0.500 0.500  0.03
O 0.250 0.250 0.250  0.52
H 0.000 0.000 0.000  -0.10
O 0.750 0.750 0.750  0.52

offset from the most stable computed form: 1.0988 eV/atom
D(E_F): 0.7370 states/eV per atom
DFT total energy: -12.5 eV/f.u.

=====

Entry 2:
VASP calculation (PBE) on a relaxed structure of CdHO2.

a = 6.019 Å, b = 6.019 Å, c = 6.019 Å
α = 28.86°, β = 28.86°, γ = 28.86°
Each line ends with the local moment (μB).
Sites, in units of the cell vectors:
O 0.883 0.883 0.883  0.47
H 0.500 0.500 0.500  -0.03
Cd 0.000 0.000 0.000  -0.02
O 0.117 0.117 0.117  0.47

offset from the most stable computed form: 1.3289 eV/atom
D(E_F): 0.6371 states/eV per atom
DFT total energy: -11.6 eV/f.u.

=====

Entry 3:
VASP calculation (PBE) on a relaxed structure of CdH2O2.

a = 3.497 Å, b = 5.798 Å, c = 6.141 Å
α = 117.71°, β = 106.00°, γ = 91.12°
Sites, in units of the cell vectors:
H 0.526 0.722 0.007
Cd 0.173 0.152 0.315
H 0.354 0.321 0.006
H 0.163 0.653 0.284
H 0.884 0.375 0.728
Cd 0.865 0.842 0.698
O 0.803 0.395 0.570
O 0.074 0.312 0.006
O 0.239 0.831 0.442
O 0.531 0.890 0.006

offset from the most stable computed form: 0.0000 eV/atom
D(E_F): 0.0000 states/eV per atom
DFT total energy: -22.8 eV/f.u.

=====

Entry 4:
VASP calculation (PBE) on a relaxed structure of CdH2O2.

a = 6.438 Å, b = 6.438 Å, c = 3.272 Å
α = 80.44°, β = 80.44°, γ = 123.09°
Sites, in units of the cell vectors:
H 0.583 0.583 0.655
H 0.304 0.662 0.516
Cd 0.064 0.786 0.032
Cd 0.786 0.064 0.032
H 0.662 0.304 0.516
H 0.392 0.392 0.402
O 0.836 0.345 0.417
O 0.402 0.402 0.694
O 0.838 0.838 0.602
O 0.345 0.836 0.417

offset from the most stable computed form: 0.0670 eV/atom
DFT total energy: -22.5 eV/f.u.

=====

What is the DFT total energy in the second record?
-11.6 eV/f.u.

=====

The lowest DFT total energy belongs to which entry?
number 3

=====

Which of these has the highest offset from the most stable computed form?
number 2

=====

Look up the DFT total energy of the third one.
-22.8 eV/f.u.